Entry 1:
{
  "formula": "KHoW2O8",
  "functional": "GGA-PBEsol",
  "state": "optimized geometry",
  "lattice_angstrom": [[5.313, -5.180, 0.000], [5.313, 5.180, 0.000], [-4.857, 0.000, 5.646]],
  "species": ["K", "K", "Ho", "Ho", "W", "W", "W", "W", "O", "O", "O", "O", "O", "O", "O", "O", "O", "O", "O", "O", "O", "O", "O", "O"],
  "fractional_positions": [[0.204, 0.796, 0.750], [0.796, 0.204, 0.250], [0.228, 0.772, 0.250], [0.772, 0.228, 0.750], [0.301, 0.304, 0.267], [0.304, 0.301, 0.767], [0.696, 0.699, 0.233], [0.699, 0.696, 0.733], [0.040, 0.210, 0.686], [0.063, 0.381, 0.122], [0.210, 0.040, 0.186], [0.236, 0.380, 0.551], [0.369, 0.588, 0.030], [0.380, 0.236, 0.051], [0.381, 0.063, 0.622], [0.412, 0.631, 0.470], [0.588, 0.369, 0.530], [0.619, 0.937, 0.378], [0.620, 0.764, 0.949], [0.631, 0.412, 0.970], [0.764, 0.620, 0.449], [0.790, 0.960, 0.814], [0.937, 0.619, 0.878], [0.960, 0.790, 0.314]],
  "total_energy_ha_per_atom": -0.3260,
  "total_magnetization_mub_per_fu": 0.0
}

Entry 2:
{
  "formula": "KTa2Hg",
  "functional": "GGA-PBEsol",
  "state": "optimized geometry",
  "lattice_angstrom": [[1.734, -2.356, 0.000], [1.734, 2.356, 0.000], [0.000, 0.000, 10.648]],
  "species": ["K", "Ta", "Ta", "Hg"],
  "fractional_positions": [[0.000, 0.000, 0.000], [0.000, 0.000, 0.502], [0.500, 0.500, 0.306], [0.500, 0.500, 0.729]],
  "ef_ev_per_atom": 0.448,
  "total_energy_ha_per_atom": -0.2298,
  "total_magnetization_mub_per_fu": 0.0
}